Below is crystalline NbCoW at its relaxed geometry, with properties calculated at the PBE level.

energy: -9.996 eV/atom
mass density: 12.44 g/cm3
E above lowest polymorph: 0.36 eV per formula unit
energy relative to the elements: 0.0471 eV per atom

Lattice parameters (Å, degrees): 6.290 6.290 6.290 154.87 154.87 35.83
Atoms (fractional coordinates):
Nb  0.000  0.000  0.000
Co  0.661  0.661  0.000
W  0.305  0.305  0.000